This record from Alexandria describes a geometry-optimized LaPm3Nd2Y6 structure. The functional is PBE-GGA.

Structure (extended XYZ):
```
12
Lattice="3.148 -5.451 0.000 3.148 5.451 0.000 -2.091 0.000 11.716" Properties=species:S:1:pos:R:3 pbc="T T T"
La 0.000 0.000 0.000
Pm 2.102 3.631 5.858
Pm 2.102 0.000 5.858
Pm 2.102 -3.631 5.858
Nd 3.148 1.816 0.000
Nd 3.148 -1.816 0.000
Y 1.054 1.820 2.946
Y 0.009 0.000 8.767
Y 1.054 -1.820 2.946
Y 3.150 1.820 8.770
Y 4.195 0.000 2.949
Y 3.150 -1.820 8.770
```

DFT total energy ... -5.615 eV/atom
Symmetry ... C2/m (12)
Energy relative to the elements ... 10 meV/atom



This record from Alexandria describes a geometry-optimized LaPmNdY2 structure. The functional is PBE-GGA.

Structure (extended XYZ):
```
5
Lattice="3.637 0.000 0.000 0.000 5.663 0.000 0.000 0.000 8.795" Properties=species:S:1:pos:R:3 pbc="T T T"
La 0.000 0.000 0.000
Pm 1.818 2.831 0.000
Nd 1.818 0.000 4.398
Y 0.000 2.831 2.810
Y 0.000 2.831 5.985
```

DFT total energy ... -5.224 eV/atom
Symmetry ... Pmmm (47)
Energy relative to the elements ... 250 meV/atom



This record from Alexandria describes a geometry-optimized La6PmNdY2 structure. The functional is PBE-GGA.

Structure (extended XYZ):
```
10
Lattice="5.711 -3.613 0.000 5.711 3.613 0.000 -2.073 0.000 8.781" Properties=species:S:1:pos:R:3 pbc="T T T"
La 3.268 1.607 1.735
La 0.684 0.000 3.823
La 6.082 1.607 7.046
La 3.268 -1.607 1.735
La 8.666 0.000 4.957
La 6.082 -1.607 7.046
Pm 0.000 0.000 0.000
Nd 4.675 0.000 4.390
Y 2.916 0.000 7.364
Y 6.434 0.000 1.416
```

DFT total energy ... -5.015 eV/atom
Symmetry ... C2/m (12)
Energy relative to the elements ... 187 meV/atom



This record from Alexandria describes a geometry-optimized La2Pm6Nd3Y structure. The functional is PBE-GGA.

Structure (extended XYZ):
```
12
Lattice="3.179 -5.505 0.000 3.179 5.505 0.000 -2.134 0.000 11.990" Properties=species:S:1:pos:R:3 pbc="T T T"
La 3.179 3.669 0.000
La 3.179 -3.669 0.000
Pm -0.010 1.831 8.982
Pm 1.061 0.000 3.010
Pm -0.010 -1.831 8.982
Pm 4.234 1.831 3.008
Pm 3.163 0.000 8.980
Pm 4.234 -1.831 3.008
Nd -1.067 0.000 5.995
Nd 2.112 1.833 5.995
Nd 2.112 -1.833 5.995
Y 3.179 0.000 0.000
```

DFT total energy ... -4.912 eV/atom
Symmetry ... C2/m (12)
Energy relative to the elements ... 15 meV/atom



This record from Alexandria describes a geometry-optimized La2Pm6NdY3 structure. The functional is PBE-GGA.

Structure (extended XYZ):
```
12
Lattice="3.164 -5.485 0.000 3.164 5.485 0.000 -2.116 0.000 11.902" Properties=species:S:1:pos:R:3 pbc="T T T"
La 3.164 3.658 0.000
La 3.164 -3.658 0.000
Pm -0.005 1.827 8.873
Pm 1.056 0.000 3.030
Pm -0.005 -1.827 8.873
Pm 4.218 1.827 3.029
Pm 3.156 0.000 8.872
Pm 4.218 -1.827 3.029
Nd 3.164 0.000 0.000
Y -1.058 0.000 5.951
Y 2.106 1.826 5.951
Y 2.106 -1.826 5.951
```

DFT total energy ... -5.193 eV/atom
Symmetry ... C2/m (12)
Energy relative to the elements ... 17 meV/atom



This record from Alexandria describes a geometry-optimized LaPm2Nd2Y4 structure. The functional is PBE-GGA.

Structure (extended XYZ):
```
9
Lattice="9.500 -1.835 0.000 9.500 1.835 0.000 -4.226 0.000 8.774" Properties=species:S:1:pos:R:3 pbc="T T T"
La 0.000 0.000 0.000
Pm 2.106 0.000 8.751
Pm 12.668 0.000 0.023
Nd -0.005 0.000 5.833
Nd 14.779 0.000 2.941
Y 2.101 0.000 2.950
Y 6.314 0.000 5.837
Y 8.460 0.000 2.937
Y 12.673 0.000 5.825
```

DFT total energy ... -5.536 eV/atom
Symmetry ... C2/m (12)
Energy relative to the elements ... -1 meV/atom



This record from Alexandria describes a geometry-optimized LaPmNdZn structure. The functional is PBE-GGA.

Structure (extended XYZ):
```
4
Lattice="0.000 3.911 3.911 3.911 0.000 3.911 3.911 3.911 0.000" Properties=species:S:1:pos:R:3 pbc="T T T"
La 0.000 0.000 0.000
Pm 1.956 1.956 1.956
Nd 3.911 3.911 3.911
Zn 5.867 5.867 5.867
```

DFT total energy ... -3.884 eV/atom
Symmetry ... F-43m (216)
Energy relative to the elements ... 46 meV/atom



This record from Alexandria describes a geometry-optimized La3Pm3NdZn2 structure. The functional is PBE-GGA.

Structure (extended XYZ):
```
9
Lattice="9.268 0.000 0.000 -4.634 8.027 0.000 0.000 0.000 3.729" Properties=species:S:1:pos:R:3 pbc="T T T"
La -3.204 5.550 0.000
La 1.430 2.477 0.000
La 6.408 0.000 0.000
Pm -1.782 3.087 1.865
Pm 3.565 0.000 1.865
Pm 2.852 4.940 1.865
Nd 0.000 0.000 1.865
Zn 0.000 5.351 0.000
Zn 4.634 2.676 0.000
```

DFT total energy ... -4.057 eV/atom
Symmetry ... P-62m (189)
Energy relative to the elements ... -18 meV/atom



This record from Alexandria describes a geometry-optimized LaPmNdZn structure. The functional is PBE-GGA.

Structure (extended XYZ):
```
4
Lattice="3.702 0.000 0.000 0.000 3.702 0.000 0.000 0.000 8.840" Properties=species:S:1:pos:R:3 pbc="T T T"
La 0.000 0.000 0.000
Pm 1.851 1.851 2.609
Nd 1.851 1.851 6.204
Zn 0.000 0.000 4.377
```

DFT total energy ... -4.082 eV/atom
Symmetry ... P4mm (99)
Energy relative to the elements ... -152 meV/atom



This record from Alexandria describes a geometry-optimized La8PrNd4 structure. The functional is PBE-GGA.

Structure (extended XYZ):
```
13
Lattice="5.988 3.457 3.999 -5.988 3.457 3.999 0.000 -6.915 3.999" Properties=species:S:1:pos:R:3 pbc="T T T"
La 0.000 -3.497 4.033
La -3.029 1.749 4.033
La 0.000 0.000 2.860
La -3.029 -1.749 7.964
La 3.029 1.749 4.033
La 0.000 0.000 9.137
La 3.029 -1.749 7.964
La 0.000 3.497 7.964
Pr 0.000 0.000 5.999
Nd 0.000 0.000 0.000
Nd -2.994 -1.729 3.999
Nd -2.994 1.729 7.998
Nd 0.000 3.457 3.999
```

DFT total energy ... -4.521 eV/atom
Symmetry ... R-3m (166)
Energy relative to the elements ... 346 meV/atom



What did the third record say?
This record from Alexandria describes a geometry-optimized La6PmNdY2 structure. The functional is PBE-GGA.

Structure (extended XYZ):
```
10
Lattice="5.711 -3.613 0.000 5.711 3.613 0.000 -2.073 0.000 8.781" Properties=species:S:1:pos:R:3 pbc="T T T"
La 3.268 1.607 1.735
La 0.684 0.000 3.823
La 6.082 1.607 7.046
La 3.268 -1.607 1.735
La 8.666 0.000 4.957
La 6.082 -1.607 7.046
Pm 0.000 0.000 0.000
Nd 4.675 0.000 4.390
Y 2.916 0.000 7.364
Y 6.434 0.000 1.416
```

DFT total energy ... -5.015 eV/atom
Symmetry ... C2/m (12)
Energy relative to the elements ... 187 meV/atom



Repeat the second record exactly.
This record from Alexandria describes a geometry-optimized LaPmNdY2 structure. The functional is PBE-GGA.

Structure (extended XYZ):
```
5
Lattice="3.637 0.000 0.000 0.000 5.663 0.000 0.000 0.000 8.795" Properties=species:S:1:pos:R:3 pbc="T T T"
La 0.000 0.000 0.000
Pm 1.818 2.831 0.000
Nd 1.818 0.000 4.398
Y 0.000 2.831 2.810
Y 0.000 2.831 5.985
```

DFT total energy ... -5.224 eV/atom
Symmetry ... Pmmm (47)
Energy relative to the elements ... 250 meV/atom